Entry 1
Below is a relaxed Np2Pa2Se7 crystal, with properties calculated at the GGA-PBE level.

## Properties
Crystal system: tetragonal

```
Np2Pa2Se7
1.0
4.824 0.000 0.000
0.000 4.824 0.000
0.000 0.000 13.608
Np Pa Se
2 2 7
direct
0.000 0.500 0.132 Np
0.500 0.000 0.868 Np
0.000 0.500 0.628 Pa
0.500 0.000 0.372 Pa
0.000 0.000 0.243 Se
0.000 0.000 0.500 Se
0.000 0.000 0.757 Se
0.500 0.500 0.000 Se
0.500 0.500 0.255 Se
0.500 0.500 0.500 Se
0.500 0.500 0.745 Se
```



Entry 2
Below is a relaxed Np2Pa2Se7 crystal, with properties calculated at the GGA-PBE level.

## Properties
Crystal system: orthorhombic

```
Np2Pa2Se7
1.0
-2.015 7.393 4.513
2.015 -7.393 4.513
2.015 7.393 -4.513
Np Pa Se
2 2 7
direct
0.000 0.000 0.000 Np
0.547 0.047 0.500 Np
0.074 0.817 0.257 Pa
0.560 0.817 0.743 Pa
0.232 0.732 0.500 Se
0.299 0.117 0.182 Se
0.359 0.501 0.858 Se
0.643 0.501 0.142 Se
0.718 0.330 0.388 Se
0.934 0.117 0.818 Se
0.941 0.330 0.612 Se
```



In terms of stability, entry 2 leads; the second structure lies 12.4 kJ/mol of atoms higher.



Entry 1
Below is a relaxed NpPa2Se6 crystal, with properties calculated at the GGA-PBE level.

## Properties
Crystal system: monoclinic

```
NpPa2Se6
1.0
6.912 -5.568 0.000
6.912 5.568 0.000
-3.173 0.000 6.700
Np Pa Se
2 4 12
direct
0.164 0.836 0.750 Np
0.836 0.164 0.250 Np
0.189 0.342 0.086 Pa
0.342 0.189 0.586 Pa
0.658 0.811 0.414 Pa
0.811 0.658 0.914 Pa
0.065 0.169 0.675 Se
0.144 0.608 0.956 Se
0.169 0.065 0.175 Se
0.249 0.486 0.496 Se
0.392 0.856 0.544 Se
0.486 0.249 0.996 Se
0.514 0.751 0.004 Se
0.608 0.144 0.456 Se
0.751 0.514 0.504 Se
0.831 0.935 0.825 Se
0.856 0.392 0.044 Se
0.935 0.831 0.325 Se
```



Entry 2
Below is a relaxed NpPa2Se6 crystal, with properties calculated at the GGA-PBE level.

## Properties
Crystal system: monoclinic

```
NpPa2Se6
1.0
7.077 -2.708 0.000
7.077 2.708 0.000
-5.608 0.000 7.410
Np Pa Se
1 2 6
direct
0.000 0.000 0.000 Np
0.183 0.183 0.608 Pa
0.817 0.817 0.392 Pa
0.042 0.042 0.725 Se
0.257 0.257 0.372 Se
0.373 0.373 0.954 Se
0.627 0.627 0.046 Se
0.743 0.743 0.628 Se
0.958 0.958 0.275 Se
```



In terms of stability, entry 1 leads; the second structure lies 4.0 kJ/mol of atoms higher.



Entry 1
Below is a relaxed NpPaSi2 crystal, with properties calculated at the GGA-PBE level.

## Properties
Crystal system: tetragonal

```
NpPaSi2
1.0
3.787 0.000 0.000
0.000 3.787 0.000
0.000 0.000 5.605
Np Pa Si
1 1 2
direct
0.000 0.000 0.000 Np
0.000 0.000 0.500 Pa
0.500 0.500 0.235 Si
0.500 0.500 0.765 Si
```



Entry 2
Below is a relaxed NpPaSi2 crystal, with properties calculated at the GGA-PBE level.

## Properties
Crystal system: orthorhombic

```
NpPaSi2
1.0
3.482 -4.200 0.000
3.482 4.200 0.000
0.000 0.000 5.622
Np Pa Si
2 2 4
direct
0.000 0.000 0.000 Np
0.000 0.000 0.500 Np
0.368 0.632 0.750 Pa
0.632 0.368 0.250 Pa
0.153 0.510 0.250 Si
0.490 0.847 0.250 Si
0.510 0.153 0.750 Si
0.847 0.490 0.750 Si
```



Entry 3
Below is a relaxed NpPaSi2 crystal, with properties calculated at the GGA-PBE level.

## Properties
Crystal system: trigonal

```
NpPaSi2
1.0
2.025 1.169 6.739
-2.025 1.169 6.739
0.000 -2.338 6.739
Np Pa Si
1 1 2
direct
0.000 0.000 0.000 Np
0.500 0.500 0.500 Pa
0.250 0.250 0.250 Si
0.750 0.750 0.750 Si
```



In terms of stability, entry 1 leads; the second structure lies 3.4 kJ/mol of atoms higher.



Entry 1
Below is a relaxed NpPa2Si crystal, with properties calculated at the GGA-PBE level.

## Properties
Crystal system: cubic

```
NpPa2Si
1.0
0.000 3.488 3.488
3.488 0.000 3.488
3.488 3.488 0.000
Np Pa Si
1 2 1
direct
0.000 0.000 0.000 Np
0.250 0.250 0.250 Pa
0.750 0.750 0.750 Pa
0.500 0.500 0.500 Si
```



Entry 2
Below is a relaxed NpPa2Si crystal, with properties calculated at the GGA-PBE level.

## Properties
Crystal system: tetragonal

```
NpPa2Si
1.0
3.685 0.000 0.000
0.000 3.685 0.000
0.000 0.000 6.265
Np Pa Si
1 2 1
direct
0.000 0.000 0.000 Np
0.500 0.500 0.255 Pa
0.500 0.500 0.745 Pa
0.000 0.000 0.500 Si
```



Entry 3
Below is a relaxed NpPa2Si crystal, with properties calculated at the GGA-PBE level.

## Properties
Crystal system: tetragonal

```
NpPa2Si
1.0
4.493 0.000 0.000
0.000 4.493 0.000
0.000 0.000 4.147
Np Pa Si
1 2 1
direct
0.000 0.000 0.000 Np
0.000 0.500 0.500 Pa
0.500 0.000 0.500 Pa
0.500 0.500 0.000 Si
```



In terms of stability, entry 3 leads; the second structure lies 14.5 kJ/mol of atoms higher.



Entry 1
Below is a relaxed NpPaTa crystal, with properties calculated at the GGA-PBE level.

## Properties
Crystal system: tetragonal

```
NpPaTa
1.0
-1.549 1.549 13.682
1.549 -1.549 13.682
1.549 1.549 -13.682
Np Pa Ta
2 2 2
direct
0.226 0.226 0.000 Np
0.774 0.774 0.000 Np
0.364 0.364 0.000 Pa
0.636 0.636 0.000 Pa
0.049 0.049 0.000 Ta
0.951 0.951 0.000 Ta
```



Entry 2
Below is a relaxed NpPaTa crystal, with properties calculated at the GGA-PBE level.

## Properties
Crystal system: tetragonal

```
NpPaTa
1.0
-1.776 1.776 4.990
1.776 -1.776 4.990
1.776 1.776 -4.990
Np Pa Ta
1 1 1
direct
0.000 0.000 0.000 Np
0.352 0.352 0.000 Pa
0.668 0.668 0.000 Ta
```



In terms of stability, entry 2 leads; the second structure lies 25.9 kJ/mol of atoms higher.



Entry 1
Below is a relaxed NpPaTe3 crystal, with properties calculated at the GGA-PBE level.

## Properties
Crystal system: orthorhombic

```
NpPaTe3
1.0
8.295 0.000 0.000
0.000 4.304 0.000
0.000 0.000 17.043
Np Pa Te
4 4 12
direct
0.103 0.250 0.207 Np
0.397 0.750 0.707 Np
0.603 0.250 0.293 Np
0.897 0.750 0.793 Np
0.237 0.750 0.458 Pa
0.263 0.250 0.958 Pa
0.737 0.750 0.042 Pa
0.763 0.250 0.542 Pa
0.003 0.750 0.606 Te
0.118 0.750 0.070 Te
0.172 0.250 0.779 Te
0.328 0.750 0.279 Te
0.382 0.250 0.570 Te
0.497 0.250 0.106 Te
0.503 0.750 0.894 Te
0.618 0.750 0.430 Te
0.672 0.250 0.721 Te
0.828 0.750 0.221 Te
0.882 0.250 0.930 Te
0.997 0.250 0.394 Te
```



Entry 2
Below is a relaxed NpPaTe3 crystal, with properties calculated at the GGA-PBE level.

## Properties
Crystal system: orthorhombic

```
NpPaTe3
1.0
2.203 -10.988 0.000
2.203 10.988 0.000
0.000 0.000 7.622
Np Pa Te
2 2 6
direct
0.164 0.836 0.500 Np
0.836 0.164 0.000 Np
0.337 0.663 0.500 Pa
0.663 0.337 0.000 Pa
0.086 0.914 0.838 Te
0.250 0.750 0.166 Te
0.413 0.587 0.829 Te
0.587 0.413 0.329 Te
0.750 0.250 0.666 Te
0.914 0.086 0.338 Te
```



In terms of stability, entry 1 leads; the second structure lies 10.1 kJ/mol of atoms higher.



Entry 1
Below is a relaxed NpPaTe2 crystal, with properties calculated at the GGA-PBE level.

## Properties
Crystal system: trigonal

```
NpPaTe2
1.0
1.880 1.085 10.546
-1.880 1.085 10.546
0.000 -2.170 10.546
Np Pa Te
1 1 2
direct
0.000 0.000 0.000 Np
0.500 0.500 0.500 Pa
0.098 0.098 0.098 Te
0.902 0.902 0.902 Te
```



Entry 2
Below is a relaxed NpPaTe2 crystal, with properties calculated at the GGA-PBE level.

## Properties
Crystal system: cubic

```
NpPaTe2
1.0
0.000 3.761 3.761
3.761 0.000 3.761
3.761 3.761 0.000
Np Pa Te
1 1 2
direct
0.000 0.000 0.000 Np
0.500 0.500 0.500 Pa
0.250 0.250 0.250 Te
0.750 0.750 0.750 Te
```



In terms of stability, entry 2 leads; the second structure lies 49.7 kJ/mol of atoms higher.



Entry 1
Below is a relaxed ThNpPa2 crystal, with properties calculated at the GGA-PBE level.

## Properties
Crystal system: trigonal

```
ThNpPa2
1.0
1.777 1.026 9.974
-1.777 1.026 9.974
0.000 -2.052 9.974
Th Np Pa
1 1 2
direct
0.000 0.000 0.000 Th
0.500 0.500 0.500 Np
0.110 0.110 0.110 Pa
0.890 0.890 0.890 Pa
```



Entry 2
Below is a relaxed ThNpPa2 crystal, with properties calculated at the GGA-PBE level.

## Properties
Crystal system: tetragonal

```
ThNpPa2
1.0
3.376 0.000 0.000
0.000 3.376 0.000
0.000 0.000 8.927
Th Np Pa
1 1 2
direct
0.000 0.000 0.000 Th
0.000 0.000 0.500 Np
0.500 0.500 0.272 Pa
0.500 0.500 0.728 Pa
```



In terms of stability, entry 2 leads; the second structure lies 40.2 kJ/mol of atoms higher.